[1]
The following is a PBE-GGA calculation of crystalline NaScGa2 at its relaxed geometry, from Alexandria.

Energy relative to the elements ... 29 kJ/mol of formula units
SG ... I-42d, No. 122
ρ ... 3.83 g/cm3
Polymorph energy (0 for the lowest one) ... 355 meV/atom

Cell lengths 6.209, 6.209, 6.209 Å; angles 104.58, 104.58, 119.76 degrees
Fractional positions:
Na1 0.000 0.000 0.000
Na2 0.750 0.250 0.500
Sc1 0.250 0.750 0.500
Sc2 0.500 0.500 0.000
Ga1 0.131 0.625 0.006
Ga2 0.375 0.381 0.506
Ga3 0.619 0.125 0.994
Ga4 0.875 0.869 0.494


[2]
The following is a PBE-GGA calculation of crystalline Na3ScGa at its relaxed geometry, from Alexandria.

Energy relative to the elements ... 476 kJ/mol of formula units
SG ... Pm-3m, No. 221
ρ ... 1.34 g/cm3
Polymorph energy (0 for the lowest one) ... 404 meV/atom

Cell lengths 6.109, 6.109, 6.109 Å; angles 90.00, 90.00, 90.00 degrees
Fractional positions:
Na1 0.000 0.000 0.500
Na2 0.000 0.500 0.000
Na3 0.500 0.000 0.000
Sc1 0.000 0.000 0.000
Ga1 0.500 0.500 0.500


[3]
The following is a PBE-GGA calculation of crystalline NaScGa3 at its relaxed geometry, from Alexandria.

Energy relative to the elements ... 145 kJ/mol of formula units
SG ... Pm-3m, No. 221
ρ ... 3.10 g/cm3
Polymorph energy (0 for the lowest one) ... 0 meV/atom

Cell lengths 5.293, 5.293, 5.293 Å; angles 90.00, 90.00, 90.00 degrees
Fractional positions:
Na1 0.000 0.000 0.000
Sc1 0.500 0.500 0.500
Ga1 0.000 0.500 0.500
Ga2 0.500 0.000 0.500
Ga3 0.500 0.500 0.000


[4]
The following is a PBE-GGA calculation of crystalline NaScGa4 at its relaxed geometry, from Alexandria.

Energy relative to the elements ... -147 kJ/mol of formula units
SG ... F-43m, No. 216
ρ ... 5.08 g/cm3

Cell lengths 5.432, 5.432, 5.432 Å; angles 60.00, 60.00, 60.00 degrees
Fractional positions:
Na1 0.000 0.000 0.000
Sc1 0.750 0.750 0.750
Ga1 0.375 0.375 0.375
Ga2 0.375 0.375 0.874
Ga3 0.375 0.874 0.375
Ga4 0.874 0.375 0.375


[5]
The following is a PBE-GGA calculation of crystalline NaSc2Ga at its relaxed geometry, from Alexandria.

Energy relative to the elements ... 123 kJ/mol of formula units
SG ... I-42d, No. 122
ρ ... 3.12 g/cm3
Polymorph energy (0 for the lowest one) ... 409 meV/atom

Cell lengths 10.948, 10.948, 10.948 Å; angles 157.37, 157.37, 32.22 degrees
Fractional positions:
Na1 0.000 0.000 0.000
Na2 0.750 0.250 0.500
Sc1 0.149 0.625 0.024
Sc2 0.375 0.399 0.524
Sc3 0.601 0.125 0.976
Sc4 0.875 0.851 0.476
Ga1 0.250 0.750 0.500
Ga2 0.500 0.500 0.000


[6]
The following is a PBE-GGA calculation of crystalline NaScGa2 at its relaxed geometry, from Alexandria.

Energy relative to the elements ... -88 kJ/mol of formula units
SG ... Fm-3m, No. 225
ρ ... 4.32 g/cm3
Polymorph energy (0 for the lowest one) ... 52 meV/atom

Cell lengths 4.831, 4.831, 4.831 Å; angles 60.00, 60.00, 60.00 degrees
Fractional positions:
Na1 0.000 0.000 0.000
Sc1 0.500 0.500 0.500
Ga1 0.250 0.250 0.250
Ga2 0.750 0.750 0.750


[7]
The following is a PBE-GGA calculation of crystalline NaScGa at its relaxed geometry, from Alexandria.

Energy relative to the elements ... -5 kJ/mol of formula units
SG ... Fmmm, No. 69
ρ ... 3.23 g/cm3

Cell lengths 7.231, 6.790, 4.899 Å; angles 74.47, 64.78, 40.75 degrees
Fractional positions:
Na1 0.170 0.830 0.170
Na2 0.830 0.170 0.830
Sc1 0.250 0.250 0.250
Sc2 0.750 0.750 0.750
Ga1 0.380 0.380 0.620
Ga2 0.620 0.620 0.380


[8]
The following is a PBE-GGA calculation of crystalline NaScGa2 at its relaxed geometry, from Alexandria.

Energy relative to the elements ... -108 kJ/mol of formula units
SG ... P4/mmm, No. 123
ρ ... 4.33 g/cm3
Polymorph energy (0 for the lowest one) ... 0 meV/atom

Cell lengths 4.881, 4.881, 3.336 Å; angles 90.00, 90.00, 90.00 degrees
Fractional positions:
Na1 0.000 0.000 0.000
Sc1 0.500 0.500 0.000
Ga1 0.000 0.500 0.500
Ga2 0.500 0.000 0.500


[9]
The following is a PBE-GGA calculation of crystalline Na2ScGa2 at its relaxed geometry, from Alexandria.

Energy relative to the elements ... 127 kJ/mol of formula units
SG ... I4/mmm, No. 139
ρ ... 3.33 g/cm3
Polymorph energy (0 for the lowest one) ... 210 meV/atom

Cell lengths 5.744, 5.744, 5.744 Å; angles 127.74, 127.74, 77.04 degrees
Fractional positions:
Na1 0.133 0.133 0.000
Na2 0.867 0.867 0.000
Sc1 0.500 0.500 0.000
Ga1 0.250 0.750 0.500
Ga2 0.750 0.250 0.500


[10]
The following is a PBE-GGA calculation of crystalline Na2ScGa2 at its relaxed geometry, from Alexandria.

Energy relative to the elements ... 26 kJ/mol of formula units
SG ... P4/mbm, No. 127
ρ ... 3.04 g/cm3
Polymorph energy (0 for the lowest one) ... 0 meV/atom

Cell lengths 7.156, 7.156, 4.919 Å; angles 90.00, 90.00, 90.00 degrees
Fractional positions:
Na1 0.171 0.329 0.000
Na2 0.329 0.829 0.000
Na3 0.671 0.171 0.000
Na4 0.829 0.671 0.000
Sc1 0.000 0.000 0.500
Sc2 0.500 0.500 0.500
Ga1 0.127 0.627 0.500
Ga2 0.373 0.127 0.500
Ga3 0.627 0.873 0.500
Ga4 0.873 0.373 0.500


[11]
The following is a PBE-GGA calculation of crystalline NaSc2Ga2 at its relaxed geometry, from Alexandria.

Energy relative to the elements ... -141 kJ/mol of formula units
SG ... P4/mbm, No. 127
ρ ... 3.86 g/cm3
Polymorph energy (0 for the lowest one) ... 23 meV/atom

Cell lengths 8.441, 8.441, 3.047 Å; angles 90.00, 90.00, 90.00 degrees
Fractional positions:
Na1 0.000 0.000 0.000
Na2 0.500 0.500 0.000
Sc1 0.126 0.374 0.000
Sc2 0.374 0.874 0.000
Sc3 0.626 0.126 0.000
Sc4 0.874 0.626 0.000
Ga1 0.173 0.673 0.500
Ga2 0.327 0.173 0.500
Ga3 0.673 0.827 0.500
Ga4 0.827 0.327 0.500


[12]
The following is a PBE-GGA calculation of crystalline Na3ScGa at its relaxed geometry, from Alexandria.

Energy relative to the elements ... 282 kJ/mol of formula units
SG ... Pm-3m, No. 221
ρ ... 1.84 g/cm3
Polymorph energy (0 for the lowest one) ... 0 meV/atom

Cell lengths 5.494, 5.494, 5.494 Å; angles 90.00, 90.00, 90.00 degrees
Fractional positions:
Na1 0.000 0.000 0.500
Na2 0.000 0.500 0.000
Na3 0.500 0.000 0.000
Sc1 0.500 0.500 0.500
Ga1 0.000 0.000 0.000


[13]
The following is a PBE-GGA calculation of crystalline NaSc2Ga at its relaxed geometry, from Alexandria.

Energy relative to the elements ... 120 kJ/mol of formula units
SG ... R-3m, No. 166
ρ ... 2.95 g/cm3
Polymorph energy (0 for the lowest one) ... 402 meV/atom

Cell lengths 11.865, 11.865, 11.865 Å; angles 15.41, 15.41, 15.41 degrees
Fractional positions:
Na1 0.000 0.000 0.000
Sc1 0.420 0.420 0.420
Sc2 0.580 0.580 0.580
Ga1 0.500 0.500 0.500